# 1
## CsZrTe4Au3 (GGA-PBE)

Data for a relaxed structure of CsZrTe4Au3.

Results
Distance to the lowest polymorph of the same formula, meV/atom: 107
Symmetry: No. 215
Size of the total moment, Bohr magnetons per cell: 0.0

Cell lengths 6.930, 6.930, 6.930 Å; angles 90.00, 90.00, 90.00 degrees
Fractional coordinates of all 9 atoms:
Au  0.500  0.500  0.000
Au  0.500  0.000  0.500
Au  0.000  0.500  0.500
Cs  0.000  0.000  0.000
Te  0.274  0.274  0.274
Te  0.726  0.726  0.274
Te  0.726  0.274  0.726
Te  0.274  0.726  0.726
Zr  0.500  0.500  0.500


# 2
## CsZrTe3Au (GGA-PBE)

Data for a relaxed structure of CsZrTe3Au.

Results
Symmetry: No. 12
Size of the total moment, Bohr magnetons per cell: 0.0

Cell lengths 10.005, 10.005, 9.693 Å; angles 92.01, 92.01, 23.86 degrees
Fractional coordinates of all 12 atoms:
Au  0.543  0.543  0.212
Au  0.457  0.457  0.788
Cs  0.862  0.862  0.396
Cs  0.138  0.138  0.604
Te  0.000  0.000  0.000
Te  0.310  0.310  0.103
Te  0.678  0.678  0.296
Te  0.500  0.500  0.500
Te  0.322  0.322  0.704
Te  0.690  0.690  0.897
Zr  0.150  0.150  0.091
Zr  0.850  0.850  0.909


# 3
## CsZrTe4Au3 (GGA-PBE)

Data for a relaxed structure of CsZrTe4Au3.

Results
Distance to the lowest polymorph of the same formula, meV/atom: 0
Symmetry: No. 11
Size of the total moment, Bohr magnetons per cell: 0.0

Cell lengths 6.635, 8.285, 10.965 Å; angles 90.00, 105.79, 90.00 degrees
Fractional coordinates of all 18 atoms:
Au  0.307  0.549  0.024
Au  0.307  0.951  0.024
Au  0.865  0.250  0.197
Au  0.135  0.750  0.803
Au  0.693  0.049  0.976
Au  0.693  0.451  0.976
Cs  0.196  0.750  0.393
Cs  0.804  0.250  0.607
Te  0.955  0.750  0.027
Te  0.626  0.520  0.243
Te  0.626  0.980  0.243
Te  0.202  0.250  0.410
Te  0.798  0.750  0.590
Te  0.374  0.020  0.757
Te  0.374  0.480  0.757
Te  0.045  0.250  0.973
Zr  0.362  0.250  0.204
Zr  0.638  0.750  0.796


# 4
## Cs3TlAu (GGA-PBE)

Data for a relaxed structure of Cs3TlAu.

Results
Symmetry: No. 1

Cell lengths 7.020, 7.063, 12.337 Å; angles 100.79, 97.40, 110.20 degrees
Fractional coordinates of all 10 atoms:
Au  0.476  0.035  0.116
Au  0.192  0.314  0.829
Cs  0.619  0.597  0.090
Cs  0.035  0.197  0.097
Cs  0.695  0.387  0.378
Cs  0.039  0.081  0.520
Cs  0.687  0.402  0.730
Cs  0.322  0.849  0.818
Tl  0.257  0.804  0.274
Tl  0.406  0.739  0.496


# 5
## CsWAu (GGA-PBE)

Data for a relaxed structure of CsWAu.

Results
Symmetry: No. 216
Size of the total moment, Bohr magnetons per cell: 4.0

Cell lengths 5.084, 5.084, 5.084 Å; angles 60.00, 60.00, 60.00 degrees
Fractional coordinates of all 3 atoms:
Au  0.250  0.250  0.250
Cs  0.750  0.750  0.750
W  0.000  0.000  0.000


# 6
## CsZn2Au (GGA-PBE)

Data for a relaxed structure of CsZn2Au.

Results
Symmetry: No. 59

Cell lengths 4.537, 7.988, 6.809 Å; angles 90.00, 90.00, 90.00 degrees
Fractional coordinates of all 8 atoms:
Au  0.000  0.500  0.001
Au  0.500  0.000  0.999
Cs  0.000  0.000  0.499
Cs  0.500  0.500  0.501
Zn  0.500  0.331  0.001
Zn  0.500  0.669  0.001
Zn  0.000  0.169  0.999
Zn  0.000  0.831  0.999


# 7
## CuAu2 (GGA-PBE)

Data for a relaxed structure of CuAu2.

Results
Distance to the lowest polymorph of the same formula, meV/atom: 12
Symmetry: No. 62
ΔE_f, eV/atom: -0.031

Cell lengths 5.625, 4.139, 8.311 Å; angles 90.00, 90.00, 90.00 degrees
Fractional coordinates of all 12 atoms:
Au  0.349  0.250  0.075
Au  0.080  0.750  0.231
Au  0.580  0.750  0.269
Au  0.849  0.250  0.425
Au  0.151  0.750  0.575
Au  0.420  0.250  0.731
Au  0.920  0.250  0.769
Au  0.651  0.750  0.925
Cu  0.848  0.250  0.090
Cu  0.348  0.250  0.410
Cu  0.652  0.750  0.590
Cu  0.152  0.750  0.910


# 8
## CuAu2 (GGA-PBE)

Data for a relaxed structure of CuAu2.

Results
Distance to the lowest polymorph of the same formula, meV/atom: 40
Symmetry: No. 194
ΔE_f, eV/atom: -0.002

Cell lengths 4.503, 4.503, 5.528 Å; angles 90.00, 90.00, 120.00 degrees
Fractional coordinates of all 6 atoms:
Au  0.000  0.000  0.000
Au  0.333  0.667  0.250
Au  0.000  0.000  0.500
Au  0.667  0.333  0.750
Cu  0.667  0.333  0.250
Cu  0.333  0.667  0.750


# 9
## CuAu3 (GGA-PBE)

Data for a relaxed structure of CuAu3.

Results
Symmetry: No. 59
ΔE_f, eV/atom: -0.014

Cell lengths 4.737, 5.677, 4.971 Å; angles 90.00, 90.00, 90.00 degrees
Fractional coordinates of all 8 atoms:
Au  0.500  0.249  0.167
Au  0.500  0.751  0.167
Au  0.000  0.000  0.344
Au  0.500  0.500  0.656
Au  0.000  0.251  0.833
Au  0.000  0.749  0.833
Cu  0.000  0.500  0.334
Cu  0.500  0.000  0.666


# 10
## CuAu2 (GGA-PBE)

Data for a relaxed structure of CuAu2.

Results
Distance to the lowest polymorph of the same formula, meV/atom: 353
Symmetry: No. 227
ΔE_f, eV/atom: 0.310

Cell lengths 5.405, 5.405, 5.405 Å; angles 60.00, 60.00, 60.00 degrees
Fractional coordinates of all 6 atoms:
Au  0.625  0.625  0.125
Au  0.625  0.125  0.625
Au  0.125  0.625  0.625
Au  0.625  0.625  0.625
Cu  0.000  0.000  0.000
Cu  0.250  0.250  0.250


# 11
## Dy2CuAu3 (GGA-PBE)

Data for a relaxed structure of Dy2CuAu3.

Results
Symmetry: No. 99
Size of the total moment, Bohr magnetons per cell: 0.0
ΔE_f, eV/atom: -0.708

Cell lengths 3.712, 3.712, 8.949 Å; angles 90.00, 90.00, 90.00 degrees
Fractional coordinates of all 6 atoms:
Au  0.500  0.500  0.324
Au  0.500  0.500  0.663
Au  0.000  0.000  0.843
Cu  0.000  0.000  0.170
Dy  0.500  0.500  0.002
Dy  0.000  0.000  0.498


# 12
## Dy3In3CuAu2 (GGA-PBE)

Data for a relaxed structure of Dy3In3CuAu2.

Results
Symmetry: No. 189
Size of the total moment, Bohr magnetons per cell: 0.0

Cell lengths 7.776, 7.776, 3.847 Å; angles 90.00, 90.00, 120.00 degrees
Fractional coordinates of all 9 atoms:
Au  0.667  0.333  0.000
Au  0.333  0.667  0.000
Cu  0.000  0.000  0.500
Dy  0.403  0.000  0.500
Dy  0.000  0.403  0.500
Dy  0.597  0.597  0.500
In  0.749  0.000  0.000
In  0.251  0.251  0.000
In  0.000  0.749  0.000


# 13
## Dy2TmIn3CuAu2 (GGA-PBE)

Data for a relaxed structure of Dy2TmIn3CuAu2.

Results
Symmetry: No. 38
Size of the total moment, Bohr magnetons per cell: 0.0

Cell lengths 3.837, 7.753, 7.753 Å; angles 119.80, 90.00, 90.00 degrees
Fractional coordinates of all 9 atoms:
Au  0.500  0.664  0.334
Au  0.500  0.334  0.664
Cu  0.000  0.001  0.001
Dy  0.000  0.596  0.000
Dy  0.000  0.000  0.596
In  0.500  0.251  0.001
In  0.500  0.001  0.251
In  0.500  0.749  0.749
Tm  0.000  0.404  0.404


# 14
## Dy2Mg2CuAu3 (GGA-PBE)

Data for a relaxed structure of Dy2Mg2CuAu3.

Results
Symmetry: No. 6
Size of the total moment, Bohr magnetons per cell: 0.0

Cell lengths 4.865, 4.864, 6.868 Å; angles 90.00, 90.02, 90.00 degrees
Fractional coordinates of all 8 atoms:
Au  0.754  0.500  0.250
Au  0.246  0.000  0.250
Au  0.755  0.500  0.750
Cu  0.245  0.000  0.750
Dy  0.747  0.000  0.504
Dy  0.254  0.500  0.996
Mg  0.252  0.500  0.503
Mg  0.749  0.000  0.997


# 15
## DyCuSi2Au (GGA-PBE)

Data for a relaxed structure of DyCuSi2Au.

Results
Symmetry: No. 119
Size of the total moment, Bohr magnetons per cell: 0.0

Cell lengths 5.891, 5.891, 5.891 Å; angles 139.43, 139.43, 58.72 degrees
Fractional coordinates of all 5 atoms:
Au  0.000  0.000  0.000
Cu  0.500  0.500  0.000
Dy  0.250  0.750  0.500
Si  0.638  0.138  0.500
Si  0.862  0.362  0.500


# 16
## Tb2DyZn3CuAu2 (GGA-PBE)

Data for a relaxed structure of Tb2DyZn3CuAu2.

Results
Symmetry: No. 38
Size of the total moment, Bohr magnetons per cell: 0.0
ΔE_f, eV/atom: -0.582

Cell lengths 3.933, 7.320, 7.320 Å; angles 119.95, 90.00, 90.00 degrees
Fractional coordinates of all 9 atoms:
Au  0.500  0.666  0.335
Au  0.500  0.335  0.666
Cu  0.000  0.999  0.999
Dy  0.000  0.597  0.597
Tb  0.000  0.404  0.000
Tb  0.000  0.000  0.404
Zn  0.500  0.234  0.234
Zn  0.500  0.999  0.766
Zn  0.500  0.766  0.999


# 17
## Dy2TmZn3CuAu2 (GGA-PBE)

Data for a relaxed structure of Dy2TmZn3CuAu2.

Results
Symmetry: No. 38
Size of the total moment, Bohr magnetons per cell: 0.0
ΔE_f, eV/atom: -0.589

Cell lengths 3.919, 7.263, 7.263 Å; angles 119.83, 90.00, 90.00 degrees
Fractional coordinates of all 9 atoms:
Au  0.500  0.666  0.336
Au  0.500  0.336  0.666
Cu  0.000  0.998  0.998
Dy  0.000  0.404  0.000
Dy  0.000  0.000  0.404
Tm  0.000  0.597  0.597
Zn  0.500  0.234  0.234
Zn  0.500  0.999  0.766
Zn  0.500  0.766  0.999


# 18
## DyTm2Zn3CuAu2 (GGA-PBE)

Data for a relaxed structure of DyTm2Zn3CuAu2.

Results
Symmetry: No. 38
Size of the total moment, Bohr magnetons per cell: 0.0
ΔE_f, eV/atom: -0.591

Cell lengths 3.906, 7.258, 7.258 Å; angles 120.08, 90.00, 90.00 degrees
Fractional coordinates of all 9 atoms:
Au  0.500  0.667  0.332
Au  0.500  0.332  0.667
Cu  0.000  0.001  0.001
Dy  0.000  0.597  0.597
Tm  0.000  0.403  0.000
Tm  0.000  0.000  0.403
Zn  0.500  0.766  0.000
Zn  0.500  0.234  0.234
Zn  0.500  0.000  0.766


# 19
## Er2Ga4CuAu (GGA-PBE)

Data for a relaxed structure of Er2Ga4CuAu.

Results
Symmetry: No. 38
Size of the total moment, Bohr magnetons per cell: 0.0

Cell lengths 6.625, 5.544, 5.544 Å; angles 46.36, 90.00, 90.00 degrees
Fractional coordinates of all 8 atoms:
Au  0.000  0.797  0.797
Cu  0.500  0.203  0.203
Er  0.000  0.088  0.088
Er  0.500  0.914  0.914
Ga  0.207  0.376  0.376
Ga  0.793  0.376  0.376
Ga  0.307  0.623  0.623
Ga  0.693  0.623  0.623


# 20
## Er2TmGa3CuAu2 (GGA-PBE)

Data for a relaxed structure of Er2TmGa3CuAu2.

Results
Symmetry: No. 38
Size of the total moment, Bohr magnetons per cell: 0.0

Cell lengths 3.871, 7.288, 7.288 Å; angles 119.92, 90.00, 90.00 degrees
Fractional coordinates of all 9 atoms:
Au  0.500  0.665  0.334
Au  0.500  0.334  0.665
Cu  0.000  0.001  0.001
Er  0.000  0.000  0.596
Er  0.000  0.596  0.000
Ga  0.500  0.239  0.000
Ga  0.500  0.000  0.239
Ga  0.500  0.762  0.762
Tm  0.000  0.403  0.403


# 21
## Er2HfZn3CuAu2 (GGA-PBE)

Data for a relaxed structure of Er2HfZn3CuAu2.

Results
Symmetry: No. 38
Size of the total moment, Bohr magnetons per cell: 0.0
ΔE_f, eV/atom: -0.495

Cell lengths 3.837, 7.160, 7.160 Å; angles 119.55, 90.00, 90.00 degrees
Fractional coordinates of all 9 atoms:
Au  0.500  0.665  0.343
Au  0.500  0.343  0.665
Cu  0.000  0.992  0.992
Er  0.000  0.404  0.000
Er  0.000  0.000  0.404
Hf  0.000  0.599  0.599
Zn  0.500  0.239  0.239
Zn  0.500  0.996  0.762
Zn  0.500  0.762  0.996


# 22
## HoEr2In3CuAu2 (GGA-PBE)

Data for a relaxed structure of HoEr2In3CuAu2.

Results
Symmetry: No. 38
Size of the total moment, Bohr magnetons per cell: 0.0

Cell lengths 3.828, 7.750, 7.750 Å; angles 120.05, 90.00, 90.00 degrees
Fractional coordinates of all 9 atoms:
Au  0.500  0.667  0.333
Au  0.500  0.333  0.667
Cu  0.000  0.000  0.000
Er  0.000  0.599  0.000
Er  0.000  0.000  0.599
Ho  0.000  0.402  0.402
In  0.500  0.000  0.252
In  0.500  0.748  0.748
In  0.500  0.252  0.000


# 23
## HoEr2Zn3CuAu2 (GGA-PBE)

Data for a relaxed structure of HoEr2Zn3CuAu2.

Results
Symmetry: No. 38
Size of the total moment, Bohr magnetons per cell: 0.0
ΔE_f, eV/atom: -0.592

Cell lengths 3.907, 7.260, 7.260 Å; angles 120.01, 90.00, 90.00 degrees
Fractional coordinates of all 9 atoms:
Au  0.500  0.667  0.333
Au  0.500  0.333  0.667
Cu  0.000  0.000  0.000
Er  0.000  0.597  0.000
Er  0.000  0.000  0.597
Ho  0.000  0.403  0.403
Zn  0.500  0.234  0.000
Zn  0.500  0.000  0.234
Zn  0.500  0.766  0.766


# 24
## Ho2ErZn3CuAu2 (GGA-PBE)

Data for a relaxed structure of Ho2ErZn3CuAu2.

Results
Symmetry: No. 38
Size of the total moment, Bohr magnetons per cell: 0.0
ΔE_f, eV/atom: -0.591

Cell lengths 3.912, 7.268, 7.268 Å; angles 119.99, 90.00, 90.00 degrees
Fractional coordinates of all 9 atoms:
Au  0.500  0.667  0.333
Au  0.500  0.333  0.667
Cu  0.000  0.000  0.000
Er  0.000  0.403  0.403
Ho  0.000  0.597  0.000
Ho  0.000  0.000  0.597
Zn  0.500  0.234  0.000
Zn  0.500  0.000  0.234
Zn  0.500  0.766  0.766


| no. | calculated total energy (eV per atom) |
| --- | --- |
| 1 | -3.949 |
| 2 | -4.302 |
| 3 | -4.056 |
| 4 | -1.758 |
| 5 | -3.632 |
| 6 | -1.851 |
| 7 | -3.448 |
| 8 | -3.419 |
| 9 | -3.393 |
| 10 | -3.106 |
| 11 | -4.495 |
| 12 | -4.254 |
| 13 | -4.236 |
| 14 | -3.866 |
| 15 | -5.069 |
| 16 | -3.682 |
| 17 | -3.669 |
| 18 | -3.658 |
| 19 | -4.094 |
| 20 | -4.371 |
| 21 | -4.176 |
| 22 | -4.238 |
| 23 | -3.675 |
| 24 | -3.676 |